Crystalline SiAsBr at its relaxed geometry, computed with PBE.

The electronic total energy is -3.95 eV per atom. The size of the total moment comes out at 0.00 μB/atom. The formation energy from raw total energies is -40 meV/atom.

Cell: 4.9931 6.3649 7.9367 Å, 68.14 72.26 78.81°
Fractional positions:
Si 0.0000 0.0000 0.0000
Si 0.2244 0.7060 0.7430
As 0.4275 0.7664 0.9742
As 0.8107 0.0115 0.7582
Br 0.0242 0.3608 0.0338
Br 0.7407 0.8370 0.2973

Crystalline SiAsBr2 at its relaxed geometry, computed with PBE.

The electronic total energy is -2.72 eV per atom. The size of the total moment comes out at 0.00 μB/atom. The formation energy from raw total energies is 630 meV/atom.

Cell: 4.9922 4.9922 4.9922 Å, 60.00 60.00 60.00°
Fractional positions:
Si 0.0000 0.0000 0.0000
As 0.7500 0.7500 0.7500
Br 0.2500 0.2500 0.2500
Br 0.5000 0.5000 0.5000

Crystalline SiAsBr at its relaxed geometry, computed with PBE.

The electronic total energy is -4.24 eV per atom. The size of the total moment comes out at 0.00 μB/atom. The formation energy from raw total energies is -328 meV/atom.

Cell: 3.7592 3.7595 7.4504 Å, 78.42 89.37 60.01°
Fractional positions:
Si 0.0000 0.0000 0.0000
As 0.3680 0.2576 0.1470
Br 0.9282 0.1570 0.6929

Crystalline SiAsBr2 at its relaxed geometry, computed with PBE.

The electronic total energy is -3.44 eV per atom. The size of the total moment comes out at 0.00 μB/atom. The formation energy from raw total energies is -84 meV/atom.

Cell: 6.5011 6.5011 5.5320 Å, 98.99 98.99 34.66°
Fractional positions:
Si 0.0000 0.0000 0.0000
As 0.5465 0.5465 0.2719
Br 0.1608 0.1608 0.8421
Br 0.3914 0.3914 0.4783

| no. | E above lowest polymorph (eV per atom) |
| --- | --- |
| 1 | 0.289 |
| 2 | 0.828 |
| 3 | 0.000 |
| 4 | 0.114 |